# 1
A plane-wave DFT calculation with PBE-GGA was carried out for an optimized crystal structure of KCu2Mo.

Cell and atoms, written as POSCAR:
```
KCu2Mo
1.0
2.982 -0.012 0.000
0.011 2.982 0.000
0.000 0.000 8.316
Mo K Cu
1 1 2
Direct
0.500 0.500 0.750
0.500 0.500 0.250
0.000 0.000 0.939
0.000 0.000 0.561
```

Calculated values
space-group type: P4/mmm (123)
offset from the most stable computed form: 30 meV per atom

=====

# 2
A plane-wave DFT calculation with PBE-GGA was carried out for an optimized crystal structure of Fe2AsW.

Cell and atoms, written as POSCAR:
```
Fe2AsW
1.0
3.123 0.000 0.000
0.000 3.122 0.000
0.000 0.000 5.438
W Fe As
1 2 1
Direct
0.500 0.500 0.250
0.000 0.000 0.500
0.000 0.000 0.000
0.500 0.500 0.750
```

Calculated values
space-group type: P4/mmm (123)

=====

# 3
A plane-wave DFT calculation with PBE-GGA was carried out for an optimized crystal structure of Pm2In2Hg3.

Cell and atoms, written as POSCAR:
```
Pm2In2Hg3
1.0
3.561 0.000 0.000
0.000 4.632 0.000
0.000 -2.316 11.385
Pm In Hg
2 2 3
Direct
0.000 0.148 0.295
0.000 0.852 0.705
0.500 0.287 0.573
0.500 0.713 0.427
0.500 0.570 0.140
0.500 0.430 0.860
0.000 0.000 0.000
```

Calculated values
space-group type: Cmmm (65)

=====

DFT formation energy per entry: 233, 56, -209 kJ/mol of formula units
Mass density per entry: 5.89, 11.60, 9.92 g/cm³